1.
VASP calculation (GGA-PBE) on crystalline Np3PbO9 at its relaxed geometry.

Cell and atoms, written as POSCAR:
```
Np3PbO9
1.0
-2.846 2.535 -1.590
-4.699 -6.289 -1.620
-0.609 3.744 7.062
Np Pb O
3 1 9
direct
0.500 0.000 0.500
0.500 0.500 0.000
0.500 0.500 0.500
0.000 0.000 0.000
0.000 0.000 0.500
0.500 0.205 0.409
0.500 0.205 0.795
0.500 0.591 0.795
0.000 0.500 0.000
0.500 0.409 0.205
0.000 0.500 0.500
0.500 0.795 0.205
0.500 0.795 0.591
```

## Properties
energy relative to the elements, uncorrected = -2.471 eV/atom
space-group type = P6/mmm (191)
E_tot = -9.18 eV per atom

=====

2.
VASP calculation (GGA-PBE) on crystalline NpPdPbO6 at its relaxed geometry.

Cell and atoms, written as POSCAR:
```
NpPdPbO6
1.0
5.394 0.000 0.000
-2.697 4.671 0.000
0.000 0.000 11.019
Np Pd Pb O
2 2 2 12
direct
0.667 0.333 0.250
0.333 0.667 0.750
0.333 0.667 0.250
0.667 0.333 0.750
0.000 0.000 0.000
0.000 0.000 0.500
0.634 0.639 0.146
0.005 0.366 0.146
0.366 0.005 0.646
0.995 0.634 0.854
0.361 0.366 0.354
0.005 0.639 0.354
0.639 0.005 0.854
0.634 0.995 0.354
0.995 0.361 0.646
0.361 0.995 0.146
0.639 0.634 0.646
0.366 0.361 0.854
```

## Properties
energy relative to the elements, uncorrected = -1.609 eV/atom
space-group type = P-31c (163)
E_tot = -7.34 eV per atom

=====

3.
VASP calculation (GGA-PBE) on crystalline NpPdPb2O8 at its relaxed geometry.

Cell and atoms, written as POSCAR:
```
NpPdPb2O8
1.0
-2.300 0.559 -4.588
1.024 -4.991 -0.677
-5.698 -2.277 3.281
Np Pd Pb O
1 1 2 8
direct
0.000 0.000 0.000
0.000 0.000 0.500
0.454 0.546 0.736
0.546 0.454 0.264
0.203 0.788 0.174
0.694 0.702 0.000
0.849 0.157 0.242
0.797 0.212 0.826
0.306 0.298 0.000
0.151 0.843 0.758
0.704 0.711 0.499
0.296 0.289 0.501
```

## Properties
energy relative to the elements, uncorrected = -1.363 eV/atom
space-group type = P-1 (2)
E_tot = -6.80 eV per atom

=====

4.
VASP calculation (GGA-PBE) on crystalline NpPdPb2O6 at its relaxed geometry.

Cell and atoms, written as POSCAR:
```
NpPdPb2O6
1.0
-3.891 -2.833 1.943
3.399 -1.732 4.280
-1.825 5.988 0.033
Np Pd Pb O
1 1 2 6
direct
0.000 0.500 0.000
0.500 0.000 0.000
0.212 0.233 0.467
0.788 0.767 0.533
0.280 0.668 0.336
0.201 0.161 0.838
0.799 0.323 0.162
0.201 0.677 0.838
0.799 0.839 0.162
0.720 0.332 0.664
```

## Properties
energy relative to the elements, uncorrected = -1.645 eV/atom
space-group type = C2/m (12)
E_tot = -7.18 eV per atom